The following is a DFT calculation (PBE) of a geometry-optimized Er2PtAu2 structure.

Output
Energy of formation from the pure elements ... -90.1 kJ per mole of atoms
V ... 21.57 Å³ per atom

Structure (POSCAR):
```
Er2PtAu2
1.0
1.949 -7.776 0.000
1.949 7.776 0.000
0.000 0.000 3.558
Er Pt Au
2 1 2
direct
0.106 0.894 0.000
0.894 0.106 0.000
0.500 0.500 0.500
0.313 0.687 0.500
0.687 0.313 0.500
```


The following is a DFT calculation (PBE) of a geometry-optimized Er8Pt2Au structure.

Output
Energy of formation from the pure elements ... -54.6 kJ per mole of atoms
V ... 26.96 Å³ per atom

Structure (POSCAR):
```
Er8Pt2Au
1.0
4.231 -6.500 0.000
4.231 6.500 0.000
-1.676 0.000 5.392
Er Pt Au
8 2 1
direct
0.000 0.000 0.000
0.037 0.291 0.596
0.145 0.600 0.184
0.291 0.037 0.596
0.452 0.707 0.784
0.600 0.145 0.184
0.707 0.452 0.784
0.743 0.743 0.370
0.066 0.676 0.684
0.676 0.066 0.684
0.372 0.372 0.071
```


The following is a DFT calculation (PBE) of a geometry-optimized ErPtAu structure.

Output
Energy of formation from the pure elements ... -82.3 kJ per mole of atoms
V ... 23.20 Å³ per atom

Structure (POSCAR):
```
ErPtAu
1.0
0.000 3.265 3.265
3.265 0.000 3.265
3.265 3.265 0.000
Er Pt Au
1 1 1
direct
0.000 0.000 0.000
0.250 0.250 0.250
0.500 0.500 0.500
```


The following is a DFT calculation (PBE) of a geometry-optimized ErPtAu structure.

Output
Energy of formation from the pure elements ... -80.2 kJ per mole of atoms
V ... 20.72 Å³ per atom

Structure (POSCAR):
```
ErPtAu
1.0
4.639 0.000 0.000
-2.319 4.017 0.000
0.000 0.000 3.336
Er Pt Au
1 1 1
direct
0.000 0.000 0.000
0.333 0.667 0.500
0.667 0.333 0.500
```